An optimized crystal structure of SbMoPO2. Source: the Alexandria database, functional GGA+U.

Lattice parameters (Å, degrees): 3.9425 3.9425 5.4047 90.00 90.00 90.00
Space group P4/mmm (No. 123)
One atom of each set of equivalent atoms:
Sb: 0.0000 0.0000 0.0000 x1
Mo: 0.5000 0.5000 0.5000 x1
P: 0.0000 0.0000 0.5000 x1
O: 0.0000 0.5000 0.0000 x2

Values from the calculation:
spin magnetization = 3.77 μB/cell
DFT total energy = -5.521 eV/atom
V = 84.0 Å³ per cell
D(E_F) = 0.59 states/eV/atom